This record from the Open Quantum Materials Database describes crystalline BaNiHgS3 at its relaxed geometry. The functional is PBE.

Values from the calculation:
space group = Cmcm
energy above the lowest structure with this stoichiometry = 131 meV per atom

Cell lengths 7.1375, 7.1375, 10.0703 Å; angles 90.00, 90.00, 147.32 degrees
Sites, in units of the cell vectors:
Ba (0.2368, 0.7632, 0.7500)
Ba (0.7632, 0.2368, 0.2500)
Ni (0.0000, 0.0000, 0.0000)
Ni (0.0000, 0.0000, 0.5000)
Hg (0.4769, 0.5231, 0.2500)
Hg (0.5231, 0.4769, 0.7500)
S (0.0889, 0.9111, 0.2500)
S (0.3812, 0.6188, 0.0378)
S (0.3812, 0.6188, 0.4622)
S (0.6188, 0.3812, 0.5378)
S (0.6188, 0.3812, 0.9622)
S (0.9111, 0.0889, 0.7500)